Record 1
# PBE CaGa3Pd3, optimized geometry
# * DFT formation energy: -0.57 eV per atom
# * magnetization: 0.00 μB per formula unit
# * energy relative to the lowest polymorph listed for this composition: 0.478 eV per formula unit
data_CaGa3Pd3
_chemical_formula_sum 'Ca6 Ga18 Pd18'
_symmetry_space_group_name_H-M 'R -3'
_symmetry_Int_Tables_number 148
_symmetry_space_group_name_Hall '-R 3'
_cell_length_a 6.8980
_cell_length_b 6.8980
_cell_length_c 18.4642
_cell_angle_alpha 90.00
_cell_angle_beta 90.00
_cell_angle_gamma 120.00
loop_
_atom_site_label
_atom_site_fract_x
_atom_site_fract_y
_atom_site_fract_z
_atom_site_occupancy
Ca1 0.0000 0.0000 0.1609 1
Ga1 0.0241 0.4160 0.3773 1
Pd1 0.0066 0.2419 0.5724 1



Record 2
# PBE Ac2PrYSe5, optimized geometry
# * ΔE_f (raw): -1.50 eV/atom
# * magnetization: 0.00 μB per formula unit
data_Ac2PrYSe5
_chemical_formula_sum 'Ac2 Pr1 Y1 Se5'
_symmetry_space_group_name_H-M 'P 4/m m m'
_symmetry_Int_Tables_number 123
_symmetry_space_group_name_Hall '-P 4 2'
_cell_length_a 5.1472
_cell_length_b 5.1472
_cell_length_c 11.1390
_cell_angle_alpha 90.00
_cell_angle_beta 90.00
_cell_angle_gamma 90.00
loop_
_atom_site_label
_atom_site_fract_x
_atom_site_fract_y
_atom_site_fract_z
_atom_site_occupancy
Ac1 0.0000 0.0000 0.2113 1
Pr1 0.5000 0.5000 0.5000 1
Y1 0.5000 0.5000 0.0000 1
Se1 0.0000 0.0000 0.5000 1
Se2 0.0000 0.5000 0.0000 1
Se3 0.5000 0.5000 0.2503 1



Record 3
# PBE Ac3InS, optimized geometry
# * ΔE_f (raw): -0.79 eV/atom
# * magnetization: 0.00 μB per formula unit
data_Ac3InS
_chemical_formula_sum 'Ac3 In1 S1'
_symmetry_space_group_name_H-M 'P m -3 m'
_symmetry_Int_Tables_number 221
_symmetry_space_group_name_Hall '-P 4 2 3'
_cell_length_a 5.7361
_cell_length_b 5.7361
_cell_length_c 5.7361
_cell_angle_alpha 90.00
_cell_angle_beta 90.00
_cell_angle_gamma 90.00
loop_
_atom_site_label
_atom_site_fract_x
_atom_site_fract_y
_atom_site_fract_z
_atom_site_occupancy
Ac1 0.0000 0.0000 0.5000 1
In1 0.5000 0.5000 0.5000 1
S1 0.0000 0.0000 0.0000 1



Record 4
# PBE LiTcNi, optimized geometry
# * DFT formation energy: 0.12 eV per atom
# * magnetization: 0.00 μB per formula unit
# * energy relative to the lowest polymorph listed for this composition: 0.184 eV per formula unit
data_LiTcNi
_chemical_formula_sum 'Li4 Tc4 Ni4'
_symmetry_space_group_name_H-M 'C 1 2/m 1'
_symmetry_Int_Tables_number 12
_cell_length_a 8.5077
_cell_length_b 3.8196
_cell_length_c 5.1290
_cell_angle_alpha 90.00
_cell_angle_beta 116.19
_cell_angle_gamma 90.00
loop_
_symmetry_equiv_pos_as_xyz
'x,y,z'
'-x,-y,-z'
'-x,y,-z'
'x,-y,z'
'x+1/2,y+1/2,z'
'-x+1/2,-y+1/2,-z'
'-x+1/2,y+1/2,-z'
'x+1/2,-y+1/2,z'
loop_
_atom_site_label
_atom_site_fract_x
_atom_site_fract_y
_atom_site_fract_z
_atom_site_occupancy
Li1 0.0000 0.0000 0.0000 1
Li2 0.0000 0.0000 0.5000 1
Tc1 0.1806 0.5000 0.3434 1
Ni1 0.1591 0.5000 0.8376 1



Record 5
# PBE AcCuTcH6, optimized geometry
# * magnetization: 1.18 μB per formula unit
# * electronic total energy: -4.52 eV per atom
data_AcCuTcH6
_chemical_formula_sum 'Ac2 Cu2 Tc2 H12'
_symmetry_space_group_name_H-M 'A m m 2'
_symmetry_Int_Tables_number 38
_cell_length_a 4.6637
_cell_length_b 4.8277
_cell_length_c 8.1554
_cell_angle_alpha 90.00
_cell_angle_beta 90.00
_cell_angle_gamma 90.00
loop_
_symmetry_equiv_pos_as_xyz
'x,y,z'
'-x,-y,z'
'-x,y,z'
'x,-y,z'
'x,y+1/2,z+1/2'
'-x,-y+1/2,z+1/2'
'-x,y+1/2,z+1/2'
'x,-y+1/2,z+1/2'
loop_
_atom_site_label
_atom_site_fract_x
_atom_site_fract_y
_atom_site_fract_z
_atom_site_occupancy
Ac1 0.0000 0.0000 0.0000 1
Cu1 0.5000 0.0000 0.6643 1
Tc1 0.5000 0.0000 0.3230 1
H1 0.2500 0.2479 0.2557 1
H2 0.2604 0.0000 0.4879 1



Record 6
# PBE Ac6IrPt2, optimized geometry
# * DFT formation energy: -0.71 eV per atom
# * magnetization: 0.00 μB per formula unit
data_Ac6IrPt2
_chemical_formula_sum 'Ac12 Ir2 Pt4'
_symmetry_space_group_name_H-M 'C 1 2/m 1'
_symmetry_Int_Tables_number 12
_cell_length_a 13.7556
_cell_length_b 4.2097
_cell_length_c 10.9769
_cell_angle_alpha 90.00
_cell_angle_beta 92.47
_cell_angle_gamma 90.00
loop_
_symmetry_equiv_pos_as_xyz
'x,y,z'
'-x,-y,-z'
'-x,y,-z'
'x,-y,z'
'x+1/2,y+1/2,z'
'-x+1/2,-y+1/2,-z'
'-x+1/2,y+1/2,-z'
'x+1/2,-y+1/2,z'
loop_
_atom_site_label
_atom_site_fract_x
_atom_site_fract_y
_atom_site_fract_z
_atom_site_occupancy
Ac1 0.0892 0.0000 0.2573 1
Ac2 0.1369 0.5000 0.9465 1
Ac3 0.1389 0.5000 0.5948 1
Ir1 0.0000 0.0000 0.5000 1
Pt1 0.2456 0.0000 0.7984 1



Record 7
# PBE NaZr2F, optimized geometry
# * ΔE_f (raw): -0.43 eV/atom
# * magnetization: 0.00 μB per formula unit
# * energy relative to the lowest polymorph listed for this composition: 0.000 eV per formula unit
data_NaZr2F
_chemical_formula_sum 'Na4 Zr8 F4'
_symmetry_space_group_name_H-M 'I -4 2 d'
_symmetry_Int_Tables_number 122
_symmetry_space_group_name_Hall 'I -4 2bw'
_cell_length_a 8.3911
_cell_length_b 8.3911
_cell_length_c 4.4148
_cell_angle_alpha 90.00
_cell_angle_beta 90.00
_cell_angle_gamma 90.00
loop_
_atom_site_label
_atom_site_fract_x
_atom_site_fract_y
_atom_site_fract_z
_atom_site_occupancy
Na1 0.0000 0.0000 0.0000 1
Zr1 0.1238 0.2500 0.6250 1
F1 0.0000 0.0000 0.5000 1



Record 8
# PBE TaNbOs4, optimized geometry
# * DFT formation energy: 0.00 eV per atom
# * magnetization: 0.00 μB per formula unit
# * energy relative to the lowest polymorph listed for this composition: 0.000 eV per formula unit
data_TaNbOs4
_chemical_formula_sum 'Ta4 Nb4 Os16'
_symmetry_space_group_name_H-M 'F -4 3 m'
_symmetry_Int_Tables_number 216
_symmetry_space_group_name_Hall 'F -4 2 3'
_cell_length_a 7.2916
_cell_length_b 7.2916
_cell_length_c 7.2916
_cell_angle_alpha 90.00
_cell_angle_beta 90.00
_cell_angle_gamma 90.00
loop_
_atom_site_label
_atom_site_fract_x
_atom_site_fract_y
_atom_site_fract_z
_atom_site_occupancy
Ta1 0.0000 0.0000 0.0000 1
Nb1 0.2500 0.2500 0.2500 1
Os1 0.1250 0.1250 0.6250 1



Record 9
# PBE BaUPd2Se4, optimized geometry
# * ΔE_f (raw): -0.87 eV/atom
# * magnetization: 2.01 μB per formula unit
data_BaUPd2Se4
_chemical_formula_sum 'Ba2 U2 Pd4 Se8'
_symmetry_space_group_name_H-M 'I 2 2 2'
_symmetry_Int_Tables_number 23
_cell_length_a 6.7950
_cell_length_b 7.2731
_cell_length_c 8.3421
_cell_angle_alpha 90.00
_cell_angle_beta 90.00
_cell_angle_gamma 90.00
loop_
_symmetry_equiv_pos_as_xyz
'x,y,z'
'-x,-y,z'
'x,-y,-z'
'-x,y,-z'
'x+1/2,y+1/2,z+1/2'
'-x+1/2,-y+1/2,z+1/2'
'x+1/2,-y+1/2,-z+1/2'
'-x+1/2,y+1/2,-z+1/2'
loop_
_atom_site_label
_atom_site_fract_x
_atom_site_fract_y
_atom_site_fract_z
_atom_site_occupancy
Ba1 0.0000 0.0000 0.0000 1
U1 0.0000 0.0000 0.5000 1
Pd1 0.0000 0.5000 0.1776 1
Se1 0.2158 0.2270 0.2970 1



Record 10
# PBE TcAs2Os, optimized geometry
# * DFT formation energy: 0.38 eV per atom
# * magnetization: 0.00 μB per formula unit
# * energy relative to the lowest polymorph listed for this composition: 1.426 eV per formula unit
data_TcAs2Os
_chemical_formula_sum 'Tc2 As4 Os2'
_symmetry_space_group_name_H-M 'C m m 2'
_symmetry_Int_Tables_number 35
_cell_length_a 2.8682
_cell_length_b 4.9181
_cell_length_c 10.1301
_cell_angle_alpha 90.00
_cell_angle_beta 90.00
_cell_angle_gamma 90.00
loop_
_symmetry_equiv_pos_as_xyz
'x,y,z'
'-x,-y,z'
'-x,y,z'
'x,-y,z'
'x+1/2,y+1/2,z'
'-x+1/2,-y+1/2,z'
'-x+1/2,y+1/2,z'
'x+1/2,-y+1/2,z'
loop_
_atom_site_label
_atom_site_fract_x
_atom_site_fract_y
_atom_site_fract_z
_atom_site_occupancy
Tc1 0.0000 0.0000 0.0000 1
As1 0.0000 0.0000 0.5717 1
As2 0.0000 0.5000 0.2081 1
Os1 0.0000 0.5000 0.7797 1



Record 11
# PBE LiTbEuAu, optimized geometry
# * DFT formation energy: -0.36 eV per atom
# * magnetization: 7.23 μB per formula unit
data_LiTbEuAu
_chemical_formula_sum 'Li4 Tb4 Eu4 Au4'
_symmetry_space_group_name_H-M 'F -4 3 m'
_symmetry_Int_Tables_number 216
_symmetry_space_group_name_Hall 'F -4 2 3'
_cell_length_a 7.3893
_cell_length_b 7.3893
_cell_length_c 7.3893
_cell_angle_alpha 90.00
_cell_angle_beta 90.00
_cell_angle_gamma 90.00
loop_
_atom_site_label
_atom_site_fract_x
_atom_site_fract_y
_atom_site_fract_z
_atom_site_occupancy
Li1 0.0000 0.0000 0.0000 1
Tb1 0.2500 0.2500 0.2500 1
Eu1 0.2500 0.2500 0.7500 1
Au1 0.0000 0.0000 0.5000 1



Record 12
# PBE PrThGa2Rh5, optimized geometry
# * DFT formation energy: -0.64 eV per atom
# * magnetization: 0.00 μB per formula unit
data_PrThGa2Rh5
_chemical_formula_sum 'Pr1 Th1 Ga2 Rh5'
_symmetry_space_group_name_H-M 'P 4/m m m'
_symmetry_Int_Tables_number 123
_symmetry_space_group_name_Hall '-P 4 2'
_cell_length_a 4.5375
_cell_length_b 4.5375
_cell_length_c 8.0744
_cell_angle_alpha 90.00
_cell_angle_beta 90.00
_cell_angle_gamma 90.00
loop_
_atom_site_label
_atom_site_fract_x
_atom_site_fract_y
_atom_site_fract_z
_atom_site_occupancy
Pr1 0.0000 0.0000 0.0000 1
Th1 0.0000 0.0000 0.5000 1
Ga1 0.5000 0.5000 0.3408 1
Rh1 0.0000 0.5000 0.2428 1
Rh2 0.5000 0.5000 0.0000 1